1.
This record from the Alexandria database describes ZrCr2Mo after structural relaxation. The functional is GGA-PBE.

Output
offset from the most stable computed form = 0.49 eV/f.u.
DFT total energy = -9.404 eV per atom
magnetization = 0.73 μB/cell
space group = Pmmm
formation energy = 24.32 kJ per mole of atoms
D(E_F) = 0.82 states/eV/atom

The structure in extended XYZ format:
```
4
Lattice="3.1531 0.0000 0.0000 0.0000 4.4513 0.0000 0.0000 0.0000 4.4645" Properties=species:S:1:pos:R:3 pbc="T T T"
Cr 0.0000 0.0000 0.0000
Cr 1.5766 2.2256 0.0000
Mo 1.5766 0.0000 2.2322
Zr 0.0000 2.2256 2.2322
```

2.
This record from the Alexandria database describes Zr2CrMo after structural relaxation. The functional is GGA-PBE.

Output
offset from the most stable computed form = 2.31 eV/f.u.
DFT total energy = -8.727 eV per atom
magnetization = 4.17 μB/cell
space group = I-42d
formation energy = 63.76 kJ per mole of atoms
D(E_F) = 1.13 states/eV/atom

The structure in extended XYZ format:
```
8
Lattice="-2.0505 5.9070 3.8448 1.8338 -3.4192 6.2310 2.5266 2.2897 4.8364" Properties=species:S:1:pos:R:3 pbc="T T T"
Cr -0.1084 1.2439 5.0379
Cr 2.1260 0.0572 8.0527
Mo 0.0000 0.0000 0.0000
Mo 0.1839 4.7203 6.8596
Zr -0.4042 3.7894 4.3601
Zr 1.5050 -0.7787 5.6150
Zr 1.8284 2.6227 7.4558
Zr 1.6906 3.9216 12.3936
```

3.
This record from the Alexandria database describes ZrCr2Mo after structural relaxation. The functional is GGA-PBE.

Output
offset from the most stable computed form = 0.42 eV/f.u.
DFT total energy = -9.423 eV per atom
magnetization = 0.00 μB/cell
space group = Immm
formation energy = 22.49 kJ per mole of atoms
D(E_F) = 0.89 states/eV/atom

The structure in extended XYZ format:
```
4
Lattice="-0.0342 -4.7465 1.8567 -0.6883 -3.6241 -3.5171 3.0366 3.8352 1.4313" Properties=species:S:1:pos:R:3 pbc="T T T"
Cr -0.7138 -8.2694 -1.6403
Cr -0.3700 -4.2866 -0.8503
Mo 1.3206 -2.5483 1.2289
Zr 0.9935 -1.9871 -1.4580
```

4.
This record from the Alexandria database describes ZrCr2Mo2 after structural relaxation. The functional is GGA-PBE.

Output
offset from the most stable computed form = 0.00 eV/f.u.
DFT total energy = -9.577 eV per atom
magnetization = 0.00 μB/cell
space group = I4/mmm
formation energy = 30.31 kJ per mole of atoms
D(E_F) = 1.22 states/eV/atom

The structure in extended XYZ format:
```
5
Lattice="3.1192 -4.2569 -2.0217 3.0056 -3.0029 3.7265 -5.3354 1.7957 -0.4972" Properties=species:S:1:pos:R:3 pbc="T T T"
Zr 0.0000 0.0000 0.0000
Cr 3.7705 -4.4692 1.0494
Cr 2.3544 -2.7907 0.6553
Mo 0.3663 -2.4186 2.0409
Mo 0.4231 -3.0455 -0.8333
```

5.
This record from the Alexandria database describes Cr3N4 after structural relaxation. The functional is GGA-PBE.

Output
offset from the most stable computed form = 0.29 eV/f.u.
DFT total energy = -9.161 eV per atom
magnetization = 20.44 μB/cell
space group = P31c
formation energy (no corrections) = -1.952 eV/f.u.
D(E_F) = 0.56 states/eV/atom

The structure in extended XYZ format:
```
28
Lattice="-6.6252 2.3685 -4.1858 -0.8008 -3.0052 7.5730 0.5577 5.5719 2.2701" Properties=species:S:1:pos:R:3 pbc="T T T"
Cr -3.3826 5.5203 0.0424
Cr -3.3087 4.3384 2.9252
Cr -6.0324 5.1357 1.6373
Cr -3.1132 1.1148 2.7478
Cr -3.7922 0.0257 5.5878
Cr -0.8303 0.1223 4.6230
Cr -0.7735 -0.4330 1.6145
Cr -1.8254 -2.2201 6.2592
Cr -5.5902 -0.6131 3.2396
Cr -5.8858 4.5693 -1.3661
Cr -5.8228 2.6448 3.3420
Cr -1.4683 3.2512 0.7838
N -0.8022 -1.7186 4.8058
N -4.7764 -1.2979 4.7495
N -2.6075 -0.2197 1.5703
N -6.5255 3.3590 1.7904
N -2.5869 2.8045 2.1839
N -4.0616 4.3318 -1.2024
N 0.1728 3.3602 4.1273
N -2.4441 2.0411 8.0077
N -4.6637 3.8622 4.0832
N -6.7179 2.9411 -1.1928
N -4.9481 1.0814 2.9370
N -1.9299 2.2570 -0.6899
N 0.0117 0.1167 0.0475
N 0.2905 2.9027 1.1826
N -2.5433 0.7735 4.4632
N -4.2059 5.3507 1.6786
```

6.
This record from the Alexandria database describes Cr3N4 after structural relaxation. The functional is GGA-PBE.

Output
offset from the most stable computed form = 0.00 eV/f.u.
DFT total energy = -9.201 eV per atom
magnetization = 0.01 μB/cell
space group = P6_3/m
formation energy (no corrections) = -2.238 eV/f.u.
D(E_F) = 0.67 states/eV/atom

The structure in extended XYZ format:
```
14
Lattice="1.4088 7.3965 1.1854 -4.2004 -3.9289 5.0018 2.2763 -0.6572 1.3954" Properties=species:S:1:pos:R:3 pbc="T T T"
Cr -0.3031 0.8144 4.9418
Cr -0.1072 -1.3993 3.5796
Cr -1.4600 -1.3552 5.8072
Cr -0.2121 1.9960 2.6407
Cr -0.4081 4.2096 4.0030
Cr 0.9447 4.1656 1.7753
N -1.3840 0.5099 6.5618
N 0.6348 0.3895 3.2117
N -1.1210 -2.8394 4.5551
N 0.8688 2.3005 1.0208
N -1.1500 2.4209 4.3709
N 0.6057 5.6498 3.0274
N 1.2463 3.1285 3.5040
N -1.7616 -0.3181 4.0785
```

7.
This record from the Alexandria database describes Cr3N4 after structural relaxation. The functional is GGA-PBE.

Output
offset from the most stable computed form = 0.81 eV/f.u.
DFT total energy = -9.085 eV per atom
magnetization = 16.00 μB/cell
space group = Pnma
formation energy (no corrections) = -1.426 eV/f.u.
D(E_F) = 0.61 states/eV/atom

The structure in extended XYZ format:
```
28
Lattice="-0.3295 0.7867 -2.6724 -8.8950 -2.8985 0.2436 -2.7690 8.7423 2.9151" Properties=species:S:1:pos:R:3 pbc="T T T"
Cr -10.6551 5.2482 2.1227
Cr -5.4823 4.4073 1.2373
Cr -1.3383 1.3823 -1.6365
Cr -6.5112 2.2233 -0.7511
Cr -9.2504 1.0836 0.7235
Cr -3.9627 -0.1199 -0.2828
Cr -2.7431 5.5469 -0.2373
Cr -8.0308 6.7504 0.7690
Cr -7.6499 -0.8914 -0.0553
Cr -3.7957 2.4311 0.4476
Cr -4.3436 7.5220 0.5415
Cr -8.1977 4.1994 0.0386
N -8.7873 5.0630 1.8379
N -4.0703 5.6612 1.4323
N -3.2061 1.5676 -1.3517
N -7.9232 0.9693 -0.9461
N -7.1132 2.9465 1.0084
N -3.9246 8.3707 2.2120
N -4.8803 3.6840 -0.5222
N -8.0688 -1.7401 -1.7258
N -5.2748 1.1254 0.2456
N -9.6020 -0.7038 0.2407
N -6.7186 5.5051 0.2406
N -2.3915 7.3343 0.2455
N -2.3340 3.9442 0.7128
N -5.5929 -1.2579 -0.4168
N -9.6595 2.6863 -0.2266
N -6.4006 7.8884 0.9030
```

8.
This record from the Alexandria database describes Cr3N4 after structural relaxation. The functional is GGA-PBE.

Output
offset from the most stable computed form = 1.34 eV/f.u.
DFT total energy = -9.010 eV per atom
magnetization = 24.09 μB/cell
space group = P31c
formation energy (no corrections) = -0.899 eV/f.u.
D(E_F) = 0.39 states/eV/atom

The structure in extended XYZ format:
```
28
Lattice="-5.1727 5.0288 -2.5626 -2.1822 -7.0695 1.9680 -1.0772 2.0670 6.2305" Properties=species:S:1:pos:R:3 pbc="T T T"
Cr -2.9086 2.1785 0.7171
Cr -4.7685 -0.0232 1.1260
Cr -5.7345 2.5289 0.1123
Cr -4.6663 -2.9376 5.6617
Cr -2.3653 -1.1647 5.4714
Cr -5.0051 -0.2114 4.6987
Cr -2.0946 0.3370 3.1659
Cr -2.5415 -4.3941 4.6581
Cr -6.5571 -1.8753 3.1283
Cr -6.6053 -0.5348 -0.8760
Cr -1.6921 -0.1457 -0.1557
Cr -4.2705 3.7459 -1.8925
N -0.3867 0.7420 2.2365
N -0.9252 1.7754 5.3518
N -0.7165 1.3749 4.1444
N -0.1779 0.3414 1.0291
N -4.3204 -4.1045 4.2150
N -5.3045 -0.5323 2.8598
N -1.5503 -1.3301 3.7736
N -1.9829 1.5654 -0.8131
N -5.6810 2.5451 -1.7774
N -4.8861 -1.0796 -0.4375
N -2.9586 0.3514 1.3777
N -6.4176 0.8658 0.6090
N -4.0641 3.5221 0.1347
N -2.7606 -2.8965 6.0406
N -3.2639 0.4413 4.8463
N -6.0410 -1.8034 5.1109
```

9.
This record from the Alexandria database describes Cr3N4 after structural relaxation. The functional is GGA-PBE.

Output
offset from the most stable computed form = 0.08 eV/f.u.
DFT total energy = -9.191 eV per atom
magnetization = 23.79 μB/cell
space group = Pnma
formation energy (no corrections) = -2.163 eV/f.u.
D(E_F) = 0.35 states/eV/atom

The structure in extended XYZ format:
```
28
Lattice="4.8162 0.0000 0.0000 0.0000 5.8720 0.0000 0.0000 0.0000 10.1026" Properties=species:S:1:pos:R:3 pbc="T T T"
Cr 0.0000 2.9360 0.0000
Cr 2.4081 0.0000 5.0513
Cr 0.0000 0.0000 0.0000
Cr 2.4081 2.9360 5.0513
Cr 0.0298 4.4040 7.4102
Cr 2.3783 4.4040 2.3589
Cr 4.7864 1.4680 2.6923
Cr 2.4379 1.4680 7.7436
Cr 2.7985 4.4040 9.1743
Cr 4.4258 4.4040 4.1230
Cr 2.0177 1.4680 0.9283
Cr 0.3904 1.4680 5.9796
N 1.0353 4.4040 9.2072
N 1.3728 4.4040 4.1559
N 3.7809 1.4680 0.8954
N 3.4434 1.4680 5.9467
N 3.6579 4.4040 5.7384
N 3.5664 4.4040 0.6871
N 1.1583 1.4680 4.3642
N 1.2498 1.4680 9.4155
N 3.6093 3.0148 8.4290
N 3.6150 5.7932 3.3777
N 1.2069 0.0788 1.6736
N 1.2012 2.8572 6.7249
N 1.2069 2.8572 1.6736
N 1.2012 0.0788 6.7249
N 3.6093 5.7932 8.4290
N 3.6150 3.0148 3.3777
```

Repeat the fifth record exactly.
This record from the Alexandria database describes Cr3N4 after structural relaxation. The functional is GGA-PBE.

Output
offset from the most stable computed form = 0.29 eV/f.u.
DFT total energy = -9.161 eV per atom
magnetization = 20.44 μB/cell
space group = P31c
formation energy (no corrections) = -1.952 eV/f.u.
D(E_F) = 0.56 states/eV/atom

The structure in extended XYZ format:
```
28
Lattice="-6.6252 2.3685 -4.1858 -0.8008 -3.0052 7.5730 0.5577 5.5719 2.2701" Properties=species:S:1:pos:R:3 pbc="T T T"
Cr -3.3826 5.5203 0.0424
Cr -3.3087 4.3384 2.9252
Cr -6.0324 5.1357 1.6373
Cr -3.1132 1.1148 2.7478
Cr -3.7922 0.0257 5.5878
Cr -0.8303 0.1223 4.6230
Cr -0.7735 -0.4330 1.6145
Cr -1.8254 -2.2201 6.2592
Cr -5.5902 -0.6131 3.2396
Cr -5.8858 4.5693 -1.3661
Cr -5.8228 2.6448 3.3420
Cr -1.4683 3.2512 0.7838
N -0.8022 -1.7186 4.8058
N -4.7764 -1.2979 4.7495
N -2.6075 -0.2197 1.5703
N -6.5255 3.3590 1.7904
N -2.5869 2.8045 2.1839
N -4.0616 4.3318 -1.2024
N 0.1728 3.3602 4.1273
N -2.4441 2.0411 8.0077
N -4.6637 3.8622 4.0832
N -6.7179 2.9411 -1.1928
N -4.9481 1.0814 2.9370
N -1.9299 2.2570 -0.6899
N 0.0117 0.1167 0.0475
N 0.2905 2.9027 1.1826
N -2.5433 0.7735 4.4632
N -4.2059 5.3507 1.6786
```